# PBE-GGA YAl9Cu2, relaxed
data_YAl9Cu2
_chemical_formula_sum 'Y4 Al36 Cu8'
_cell_length_a 10.674
_cell_length_b 10.674
_cell_length_c 7.097
_cell_angle_alpha 90.00
_cell_angle_beta 90.00
_cell_angle_gamma 90.00
_symmetry_space_group_name_H-M 'I 41/a m d'
_symmetry_Int_Tables_number 141
loop_
_symmetry_equiv_pos_as_xyz
'x,y,z'
'-x,-y,-z'
'-y+1/4,x+3/4,z+1/4'
'y+1/4,-x+3/4,-z+1/4'
'-x+1/2,-y,z+1/2'
'x+1/2,y,-z+1/2'
'y+1/4,-x+1/4,z+3/4'
'-y+1/4,x+1/4,-z+3/4'
'x,-y,-z'
'-x,y,z'
'-y+1/4,-x+1/4,-z+3/4'
'y+1/4,x+1/4,z+3/4'
'-x+1/2,y,-z+1/2'
'x+1/2,-y,z+1/2'
'y+1/4,x+3/4,-z+1/4'
'-y+1/4,-x+3/4,z+1/4'
'x+1/2,y+1/2,z+1/2'
'-x+1/2,-y+1/2,-z+1/2'
'-y+3/4,x+1/4,z+3/4'
'y+3/4,-x+1/4,-z+3/4'
'-x,-y+1/2,z'
'x,y+1/2,-z'
'y+3/4,-x+3/4,z+1/4'
'-y+3/4,x+3/4,-z+1/4'
'x+1/2,-y+1/2,-z+1/2'
'-x+1/2,y+1/2,z+1/2'
'-y+3/4,-x+3/4,-z+1/4'
'y+3/4,x+3/4,z+1/4'
'-x,y+1/2,-z'
'x,-y+1/2,z'
'y+3/4,x+1/4,-z+3/4'
'-y+3/4,-x+1/4,z+3/4'
loop_
_atom_site_label
_atom_site_type_symbol
_atom_site_fract_x
_atom_site_fract_y
_atom_site_fract_z
_atom_site_occupancy
Y1 Y 0.000 0.250 0.375 1
Al1 Al 0.000 0.250 0.875 1
Al2 Al 0.123 0.050 0.682 1
Cu1 Cu 0.000 0.000 0.000 1
# Electronic total energy   -4.19 eV per atom
# ΔE_f   -1.9 eV/f.u.
# D(E_F)   0.54 states/eV per atom
# Theoretical density   3.8 g/cm³